1.
First-principles (PBE) data for YMnCr2 after structural relaxation, as listed in the Alexandria database.

Lattice parameters (Å, degrees): 4.589 4.589 6.507 90.00 90.00 90.00
Atoms (fractional coordinates):
Y: 0.000 0.000 0.000
Y: 0.500 0.500 0.500
Mn: 0.000 0.500 0.750
Mn: 0.500 0.000 0.250
Cr: 0.000 0.000 0.500
Cr: 0.000 0.500 0.250
Cr: 0.500 0.000 0.750
Cr: 0.500 0.500 0.000

- ΔH_f (0 K): 0.4442 eV/atom
- Polymorph energy (0 for the lowest one): 155 meV per atom
- Crystal system: tetragonal

2.
First-principles (PBE) data for YMnCr after structural relaxation, as listed in the Alexandria database.

Lattice parameters (Å, degrees): 3.815 3.815 4.579 90.00 90.00 120.00
Atoms (fractional coordinates):
Y: 0.000 0.000 0.000
Mn: 0.333 0.667 0.500
Cr: 0.667 0.333 0.500

- ΔH_f (0 K): 0.2805 eV/atom
- Polymorph energy (0 for the lowest one): 0 meV per atom
- Crystal system: hexagonal

3.
First-principles (PBE) data for YMnCr2 after structural relaxation, as listed in the Alexandria database.

Lattice parameters (Å, degrees): 6.145 6.145 6.145 90.00 90.00 90.00
Atoms (fractional coordinates):
Y: 0.000 0.000 0.000
Y: 0.000 0.500 0.500
Y: 0.500 0.000 0.500
Y: 0.500 0.500 0.000
Mn: 0.000 0.000 0.500
Mn: 0.000 0.500 0.000
Mn: 0.500 0.000 0.000
Mn: 0.500 0.500 0.500
Cr: 0.250 0.250 0.250
Cr: 0.250 0.250 0.750
Cr: 0.250 0.750 0.250
Cr: 0.250 0.750 0.750
Cr: 0.750 0.250 0.250
Cr: 0.750 0.250 0.750
Cr: 0.750 0.750 0.250
Cr: 0.750 0.750 0.750

- ΔH_f (0 K): 0.6624 eV/atom
- Polymorph energy (0 for the lowest one): 373 meV per atom
- Crystal system: cubic

4.
First-principles (PBE) data for Y2MnCr after structural relaxation, as listed in the Alexandria database.

Lattice parameters (Å, degrees): 5.061 5.061 3.532 90.00 90.00 90.00
Atoms (fractional coordinates):
Y: 0.000 0.500 0.000
Y: 0.500 0.000 0.000
Mn: 0.000 0.000 0.500
Cr: 0.500 0.500 0.500

- ΔH_f (0 K): 0.3109 eV/atom
- Polymorph energy (0 for the lowest one): 146 meV per atom
- Crystal system: tetragonal

5.
First-principles (PBE) data for YMnCr2 after structural relaxation, as listed in the Alexandria database.

Lattice parameters (Å, degrees): 4.988 9.148 2.691 90.00 90.00 90.00
Atoms (fractional coordinates):
Y: 0.000 0.000 0.000
Y: 0.500 0.500 0.000
Mn: 0.000 0.500 0.000
Mn: 0.500 0.000 0.000
Cr: 0.250 0.250 0.500
Cr: 0.250 0.750 0.500
Cr: 0.750 0.250 0.500
Cr: 0.750 0.750 0.500

- ΔH_f (0 K): 0.8633 eV/atom
- Polymorph energy (0 for the lowest one): 574 meV per atom
- Crystal system: orthorhombic

6.
First-principles (PBE) data for Y2Mn16Cr after structural relaxation, as listed in the Alexandria database.

Lattice parameters (Å, degrees): 6.334 6.334 6.334 84.27 84.27 84.27
Atoms (fractional coordinates):
Y: 0.000 0.000 0.000
Y: 0.311 0.311 0.311
Mn: 0.008 0.008 0.507
Mn: 0.008 0.507 0.008
Mn: 0.153 0.654 0.654
Mn: 0.304 0.304 0.802
Mn: 0.304 0.802 0.304
Mn: 0.381 0.655 0.928
Mn: 0.381 0.928 0.655
Mn: 0.507 0.008 0.008
Mn: 0.557 0.557 0.557
Mn: 0.654 0.153 0.654
Mn: 0.654 0.654 0.153
Mn: 0.655 0.381 0.928
Mn: 0.655 0.928 0.381
Mn: 0.802 0.304 0.304
Mn: 0.928 0.381 0.655
Mn: 0.928 0.655 0.381
Cr: 0.752 0.752 0.752

- ΔH_f (0 K): 0.0290 eV/atom
- Crystal system: trigonal

no.,density of states at the Fermi level (states/eV/f.u.)
1,5.33
2,4.20
3,5.57
4,4.07
5,5.46
6,21.02